[1]
Compound: ScAlVMo
Source: the Alexandria database
Functional: GGA-PBE
Structure: relaxed

Results
Its formation energy from the elements is -133 meV per atom.

abc: 4.5258 4.5258 4.5258
angles: 60.00 60.00 60.00
Sites, in units of the cell vectors:
Sc (0.0000, 0.0000, 0.0000)
Al (0.7500, 0.7500, 0.7500)
V (0.5000, 0.5000, 0.5000)
Mo (0.2500, 0.2500, 0.2500)

[2]
Compound: AlMo4Se
Source: the Alexandria database
Functional: GGA-PBE
Structure: relaxed

Results
Its uncorrected formation energy is 0.4564 eV/atom.

abc: 5.2713 5.2713 5.2713
angles: 60.00 60.00 60.00
Sites, in units of the cell vectors:
Al (0.0000, 0.0000, 0.0000)
Mo (0.1284, 0.6239, 0.6239)
Mo (0.6239, 0.1284, 0.6239)
Mo (0.6239, 0.6239, 0.1284)
Mo (0.6239, 0.6239, 0.6239)
Se (0.2500, 0.2500, 0.2500)

[3]
Compound: AlMoSe2
Source: the Alexandria database
Functional: GGA-PBE
Structure: relaxed

Results
Its uncorrected formation energy is -0.2838 eV/atom.

abc: 9.9554 9.9554 9.9554
angles: 17.99 17.99 17.99
Sites, in units of the cell vectors:
Al (0.0000, 0.0000, 0.0000)
Mo (0.2611, 0.2611, 0.2611)
Se (0.5349, 0.5349, 0.5349)
Se (0.7337, 0.7337, 0.7337)

[4]
Compound: AlMoSe
Source: the Alexandria database
Functional: GGA-PBE
Structure: relaxed

Results
As for the energy above the most stable polymorph in this dataset: 730 meV per atom. Its uncorrected formation energy is 0.5516 eV/atom.

abc: 4.2758 4.2758 4.2758
angles: 60.00 60.00 60.00
Sites, in units of the cell vectors:
Al (0.0000, 0.0000, 0.0000)
Mo (0.5000, 0.5000, 0.5000)
Se (0.2500, 0.2500, 0.2500)

[5]
Compound: AlMoSe2
Source: the Alexandria database
Functional: GGA-PBE
Structure: relaxed

Results
Its uncorrected formation energy is -0.2931 eV/atom.

abc: 3.2462 3.2462 7.5315
angles: 90.00 90.00 90.00
Sites, in units of the cell vectors:
Al (0.0000, 0.0000, 0.0000)
Mo (0.5000, 0.5000, 0.2029)
Se (0.0000, 0.0000, 0.3909)
Se (0.5000, 0.5000, 0.8415)

[6]
Compound: AlMoSe
Source: the Alexandria database
Functional: GGA-PBE
Structure: relaxed

Results
As for the energy above the most stable polymorph in this dataset: 659 meV per atom. Its uncorrected formation energy is 0.4798 eV/atom.

abc: 4.3472 4.3472 4.3472
angles: 60.00 60.00 60.00
Sites, in units of the cell vectors:
Al (0.0000, 0.0000, 0.0000)
Mo (0.2500, 0.2500, 0.2500)
Se (0.5000, 0.5000, 0.5000)

[7]
Compound: AlMoSe
Source: the Alexandria database
Functional: GGA-PBE
Structure: relaxed

Results
As for the energy above the most stable polymorph in this dataset: 47 meV per atom. Its uncorrected formation energy is -0.1315 eV/atom.

abc: 12.1053 3.1568 3.1568
angles: 60.00 90.00 90.00
Sites, in units of the cell vectors:
Al (0.1598, 0.0000, 0.0000)
Al (0.8402, 0.0000, 0.0000)
Mo (0.0000, 0.6668, 0.6668)
Mo (0.5000, 0.6678, 0.6678)
Se (0.3517, 0.3346, 0.3346)
Se (0.6483, 0.3346, 0.3346)

[8]
Compound: AlMo2Se2
Source: the Alexandria database
Functional: GGA-PBE
Structure: relaxed

Results
As for the energy above the most stable polymorph in this dataset: 0 meV per atom. Its uncorrected formation energy is 0.2128 eV/atom.

abc: 7.2401 7.2401 3.2469
angles: 90.00 90.00 90.00
Sites, in units of the cell vectors:
Al (0.0000, 0.0000, 0.0000)
Al (0.5000, 0.5000, 0.0000)
Mo (0.1504, 0.3496, 0.0000)
Mo (0.3496, 0.8496, 0.0000)
Mo (0.6504, 0.1504, 0.0000)
Mo (0.8496, 0.6504, 0.0000)
Se (0.1450, 0.6450, 0.5000)
Se (0.3550, 0.1450, 0.5000)
Se (0.6450, 0.8550, 0.5000)
Se (0.8550, 0.3550, 0.5000)

[9]
Compound: AlMoSe
Source: the Alexandria database
Functional: GGA-PBE
Structure: relaxed

Results
As for the energy above the most stable polymorph in this dataset: 352 meV per atom. Its uncorrected formation energy is 0.1733 eV/atom.

abc: 4.3766 4.3766 3.0650
angles: 90.00 90.00 120.00
Sites, in units of the cell vectors:
Al (0.0000, 0.0000, 0.0000)
Mo (0.3333, 0.6667, 0.5000)
Se (0.6667, 0.3333, 0.5000)

[10]
Compound: AlMoSe2
Source: the Alexandria database
Functional: GGA-PBE
Structure: relaxed

Results
Its uncorrected formation energy is 0.2873 eV/atom.

abc: 2.9811 2.9811 9.5491
angles: 90.00 90.00 115.93
Sites, in units of the cell vectors:
Al (0.0000, 0.0000, 0.0000)
Mo (0.0000, 0.0000, 0.5000)
Se (0.5000, 0.5000, 0.2846)
Se (0.5000, 0.5000, 0.7154)

[11]
Compound: AlMoSe2
Source: the Alexandria database
Functional: GGA-PBE
Structure: relaxed

Results
Its uncorrected formation energy is -0.2025 eV/atom.

abc: 5.0365 5.0365 6.8843
angles: 109.65 109.65 36.28
Sites, in units of the cell vectors:
Al (0.0000, 0.0000, 0.0000)
Mo (0.2639, 0.2639, 0.9573)
Se (0.5796, 0.5796, 0.7090)
Se (0.7409, 0.7409, 0.2328)

[12]
Compound: AlMoSe2
Source: the Alexandria database
Functional: GGA-PBE
Structure: relaxed

Results
Its uncorrected formation energy is 0.3880 eV/atom.

abc: 5.2997 5.2997 5.2997
angles: 136.22 136.22 63.65
Sites, in units of the cell vectors:
Al (0.0000, 0.0000, 0.0000)
Mo (0.2500, 0.7500, 0.5000)
Se (0.5000, 0.5000, 0.0000)
Se (0.7500, 0.2500, 0.5000)